[1]
## Cu2HRh (PBE)

Data for Cu2HRh after structural relaxation.

Cell: 6.3503 6.3503 4.2642 Å, 90.00 90.00 90.00°
Closest atoms and distances in Å follow each position.
Space group I-42d (No. 122)
One atom of each set of equivalent atoms:
Cu 0.1555 0.2500 0.1250  2 H 1.94
H 0.0000 0.0000 0.0000  4 Cu 1.94, 2 Rh 2.13
Rh 0.0000 0.0000 0.5000  2 H 2.13

Computed properties:
The density of states at the Fermi level comes out at 2.08 states/eV/f.u. The value obtained for the total DFT energy (no corrections) is -4.44 eV per atom.

[2]
## CuHRh2 (PBE)

Data for CuHRh2 after structural relaxation.

Cell: 2.7609 2.7609 19.8273 Å, 90.00 90.00 120.00°
Closest atoms and distances in Å follow each position.
Space group R3m (No. 160, hexagonal axes)
One atom of each set of equivalent atoms:
Cu 0.0000 0.0000 0.0000  6 Rh 2.64-2.66, 6 Cu 2.76
H 0.0000 0.0000 0.1660  6 Rh 1.99
Rh 0.0000 0.0000 0.5593  3 H 1.99
Rh 0.0000 0.0000 0.7730  3 H 1.99

Computed properties:
The density of states at the Fermi level comes out at 5.89 states/eV/f.u. The value obtained for the total DFT energy (no corrections) is -5.47 eV per atom.

[3]
## CuH3Rh2 (PBE)

Data for CuH3Rh2 after structural relaxation.

Cell: 2.8768 2.8772 6.1266 Å, 103.10 103.11 91.23°
Closest atoms and distances in Å follow each position.
Space group P1 (No. 1)
One atom of each set of equivalent atoms:
Cu 0.0000 0.0000 0.0000  6 H 1.95-2.06
H 0.1909 0.1328 0.3352  4 Rh 1.94-2.04, 1 Cu 1.95
H 0.4991 0.4986 0.9999  2 Rh 1.83, 2 Cu 2.01-2.02
H 0.8629 0.8037 0.6646  4 Rh 1.93-2.02, 1 Cu 1.95
Rh 0.3406 0.3424 0.6835  5 H 1.83-2.02
Rh 0.6569 0.6589 0.3165  5 H 1.83-2.04

Computed properties:
The density of states at the Fermi level comes out at 3.42 states/eV/f.u. The value obtained for the total DFT energy (no corrections) is -4.80 eV per atom.

Number 1: ΔE to the lowest computed polymorph 271 meV/atom. Number 2: ΔE to the lowest computed polymorph 0 meV/atom. Number 3: ΔE to the lowest computed polymorph 0 meV/atom.